Entry 1:
A geometry-optimized AcIr structure, computed with PBE.

a = 4.183 Å, b = 4.183 Å, c = 7.408 Å
α = 90.00°, β = 89.89°, γ = 90.00°
Atoms (fractional coordinates):
Ac: 0.251 0.750 0.233
Ac: 0.749 0.250 0.767
Ir: 0.750 0.750 0.500
Ir: 0.250 0.250 0.500

Output
M_tot   0.00 μB per formula unit
E_form   -0.147 eV per atom
Crystal system   monoclinic


Entry 2:
A geometry-optimized RbAlOs3 structure, computed with PBE.

a = 4.715 Å, b = 4.715 Å, c = 4.715 Å
α = 90.00°, β = 90.00°, γ = 90.00°
Atoms (fractional coordinates):
Os: 0.000 0.500 0.000
Os: 0.000 0.000 0.500
Os: 0.500 0.000 0.000
Al: 0.500 0.500 0.500
Rb: 0.000 0.000 0.000

Output
Relative energy among the computed polymorphs   44.27 kcal/mol of atoms
M_tot   0.00 μB per formula unit
E_form   3.940 eV per atom
Crystal system   cubic


Entry 3:
A geometry-optimized Y2NpP3 structure, computed with PBE.

a = 8.913 Å, b = 8.913 Å, c = 8.913 Å
α = 154.11°, β = 154.11°, γ = 36.95°
Atoms (fractional coordinates):
Y: 0.668 0.668 0.000
Y: 0.332 0.332 0.000
Np: 0.000 0.000 0.000
P: 0.500 0.500 0.000
P: 0.835 0.835 0.000
P: 0.165 0.165 0.000

Output
M_tot   3.73 μB per formula unit
E_form   -1.369 eV per atom
Crystal system   tetragonal


Entry 4:
A geometry-optimized Sm3ZnGa3 structure, computed with PBE.

a = 4.475 Å, b = 5.888 Å, c = 13.765 Å
α = 84.72°, β = 80.65°, γ = 67.67°
Atoms (fractional coordinates):
Sm: 0.545 0.294 0.616
Sm: 0.455 0.706 0.384
Sm: 0.253 0.273 0.221
Sm: 0.747 0.727 0.779
Sm: 0.400 0.280 0.920
Sm: 0.600 0.720 0.080
Zn: 0.750 0.108 0.393
Zn: 0.250 0.892 0.607
Ga: 0.870 0.715 0.545
Ga: 0.130 0.285 0.455
Ga: 0.111 0.851 0.927
Ga: 0.889 0.149 0.073
Ga: 0.958 0.850 0.233
Ga: 0.042 0.150 0.767

Output
M_tot   0.00 μB per formula unit
E_form   -0.580 eV per atom
Crystal system   monoclinic


Entry 5:
A geometry-optimized RbCeHgCl6 structure, computed with PBE.

a = 7.410 Å, b = 7.441 Å, c = 6.219 Å
α = 89.66°, β = 89.63°, γ = 59.99°
Atoms (fractional coordinates):
Rb: 0.666 0.668 0.500
Ce: 0.333 0.334 0.500
Hg: 0.000 0.000 0.000
Cl: 0.056 0.295 0.251
Cl: 0.294 0.055 0.752
Cl: 0.650 0.294 0.749
Cl: 0.055 0.649 0.750
Cl: 0.296 0.650 0.248
Cl: 0.651 0.055 0.249

Output
Formation energy from raw total energies   -1.55 eV per atom
M_tot   1.03 μB per formula unit
Crystal system   triclinic


Entry 6:
A geometry-optimized Ce4PaSe7 structure, computed with PBE.

a = 4.085 Å, b = 7.188 Å, c = 12.421 Å
α = 104.98°, β = 90.00°, γ = 106.51°
Atoms (fractional coordinates):
Ce: 0.698 0.396 0.807
Ce: 0.303 0.606 0.191
Ce: 0.999 0.998 0.999
Ce: 0.118 0.235 0.429
Pa: 0.881 0.761 0.573
Se: 0.740 0.481 0.350
Se: 0.268 0.537 0.655
Se: 0.340 0.679 0.949
Se: 0.659 0.319 0.050
Se: 0.035 0.069 0.779
Se: 0.963 0.926 0.217
Se: 0.496 0.992 0.502

Output
Formation energy from raw total energies   -1.68 eV per atom
M_tot   6.04 μB per formula unit
Crystal system   monoclinic


Entry 7:
A geometry-optimized Ho2In8Cu structure, computed with PBE.

a = 4.675 Å, b = 4.675 Å, c = 12.166 Å
α = 90.00°, β = 90.00°, γ = 90.00°
Atoms (fractional coordinates):
Ho: 0.000 0.000 0.309
Ho: 0.000 0.000 0.691
Cu: 0.000 0.000 0.000
In: 0.000 0.500 0.500
In: 0.500 0.000 0.500
In: 0.500 0.500 0.308
In: 0.500 0.500 0.692
In: 0.000 0.500 0.125
In: 0.500 0.000 0.125
In: 0.000 0.500 0.875
In: 0.500 0.000 0.875

Output
M_tot   0.00 μB per formula unit
E_form   -0.272 eV per atom
Crystal system   tetragonal